An optimized crystal structure of K2DyReN4. Source: Alexandria, functional GGA-PBE.

a b c (Å): 5.960 5.960 6.169
angles (deg): 118.89 118.89 90.00
Positions (direct):
K: 0.236 0.236 0.472
K: 0.486 0.986 0.972
N: 0.984 0.068 0.701
N: 0.838 0.488 0.242
N: 0.718 0.634 0.701
N: 0.404 0.754 0.242
Re: 0.736 0.736 0.472
Dy: 0.986 0.486 0.972

As for the density of states at the Fermi level: 0.0000 states/eV per atom. As for the symmetry: I-4 (82). As for the total magnetization: 0.00 μB per cell. As for the raw formation energy: -5.155 eV/f.u. Its volume is 160.0 Å³ per cell.